DFT (PBE-GGA) results for a geometry-optimized TlOs2Ru structure.

Properties
Relative energy among the computed polymorphs: 15.71 kcal/mol of atoms
Formation enthalpy at 0 K: 1.216 eV/atom
Fermi-level density of states: 17.847 states/eV/cell
DFT total energy: -7.3092 eV per atom

```
data_TlOs2Ru
_chemical_formula_sum 'Tl2 Os4 Ru2'
_cell_length_a 7.4421
_cell_length_b 7.4421
_cell_length_c 5.8835
_cell_angle_alpha 50.77
_cell_angle_beta 50.77
_cell_angle_gamma 90.00
_space_group_name_H-M_alt 'P 1'
_space_group_IT_number 1
loop_
_space_group_symop_operation_xyz
'x,y,z'
loop_
_atom_site_label
_atom_site_fract_x
_atom_site_fract_y
_atom_site_fract_z
Tl1 0.7500 0.2500 0.5000
Tl2 0.0000 0.0000 0.0000
Ru1 0.2500 0.7500 0.5000
Ru2 0.5000 0.5000 0.0000
Os1 0.5756 0.1250 0.2500
Os2 0.1744 0.6250 0.2500
Os3 0.3750 0.4244 0.7500
Os4 0.8750 0.8256 0.7500
```